# meta-GGA SCAN PAuSe2, single point on PBEsol structure
data_PAuSe2
_space_group_name_H-M_alt 'P 1'
_space_group_IT_number 1
_space_group_name_Hall 'P 1'
_cell_length_a 3.7028
_cell_length_b 3.9370
_cell_length_c 6.0266
_cell_angle_alpha 109.06
_cell_angle_beta 107.89
_cell_angle_gamma 90.00
loop_
_atom_site_label
_atom_site_type_symbol
_atom_site_fract_x
_atom_site_fract_y
_atom_site_fract_z
_atom_site_occupancy
Au1 Au 0.5000 0.0000 0.0000 1
P1 P 0.0000 0.5000 0.0000 1
Se1 Se 0.6743 0.6743 0.3486 1
Se2 Se 0.3257 0.3257 0.6514 1
# Space group ... Immm

=====

# meta-GGA SCAN PAu2Se, single point on PBEsol structure
data_PAu2Se
_space_group_name_H-M_alt 'P 1'
_space_group_IT_number 1
_space_group_name_Hall 'P 1'
_cell_length_a 4.1538
_cell_length_b 4.1538
_cell_length_c 4.9901
_cell_angle_alpha 114.60
_cell_angle_beta 114.60
_cell_angle_gamma 90.00
loop_
_atom_site_label
_atom_site_type_symbol
_atom_site_fract_x
_atom_site_fract_y
_atom_site_fract_z
_atom_site_occupancy
Au1 Au 0.0000 0.0000 0.0000 1
Au2 Au 0.7500 0.2500 0.5000 1
P1 P 0.5000 0.5000 0.0000 1
Se1 Se 0.2500 0.7500 0.5000 1
# Space group ... I-4m2
# ΔE to the lowest computed polymorph ... 0.5251 eV per atom

=====

# meta-GGA SCAN PAu2Se, single point on PBEsol structure
data_PAu2Se
_space_group_name_H-M_alt 'P 1'
_space_group_IT_number 1
_space_group_name_Hall 'P 1'
_cell_length_a 2.7840
_cell_length_b 5.2027
_cell_length_c 5.6581
_cell_angle_alpha 117.37
_cell_angle_beta 104.24
_cell_angle_gamma 90.00
loop_
_atom_site_label
_atom_site_type_symbol
_atom_site_fract_x
_atom_site_fract_y
_atom_site_fract_z
_atom_site_occupancy
Au1 Au 0.7667 0.7667 0.5334 1
Au2 Au 0.2333 0.2333 0.4666 1
P1 P 0.5000 0.0000 0.0000 1
Se1 Se 0.0000 0.5000 0.0000 1
# Space group ... Immm
# ΔE to the lowest computed polymorph ... 0.3895 eV per atom

=====

# meta-GGA SCAN P2AuSe, single point on PBEsol structure
data_P2AuSe
_space_group_name_H-M_alt 'P 1'
_space_group_IT_number 1
_space_group_name_Hall 'P 1'
_cell_length_a 2.7364
_cell_length_b 5.0471
_cell_length_c 5.0471
_cell_angle_alpha 90.00
_cell_angle_beta 90.00
_cell_angle_gamma 90.00
loop_
_atom_site_label
_atom_site_type_symbol
_atom_site_fract_x
_atom_site_fract_y
_atom_site_fract_z
_atom_site_occupancy
Au1 Au 0.0000 0.0000 0.0000 1
P1 P 0.0000 0.5000 0.0000 1
P2 P 0.0000 0.0000 0.5000 1
Se1 Se 0.0000 0.5000 0.5000 1
# Space group ... P4/mmm

=====

# meta-GGA SCAN SiP2Au, single point on PBEsol structure
data_SiP2Au
_space_group_name_H-M_alt 'P 1'
_space_group_IT_number 1
_space_group_name_Hall 'P 1'
_cell_length_a 5.4552
_cell_length_b 5.4552
_cell_length_c 6.4745
_cell_angle_alpha 114.92
_cell_angle_beta 114.92
_cell_angle_gamma 90.00
loop_
_atom_site_label
_atom_site_type_symbol
_atom_site_fract_x
_atom_site_fract_y
_atom_site_fract_z
_atom_site_occupancy
P1 P 0.3944 0.8750 0.2500 1
P2 P 0.8556 0.3750 0.2500 1
P3 P 0.1250 0.1444 0.7500 1
P4 P 0.6250 0.6056 0.7500 1
Si1 Si 0.7500 0.2500 0.5000 1
Si2 Si 0.5000 0.5000 0.0000 1
Au1 Au 0.2500 0.7500 0.5000 1
Au2 Au 0.0000 0.0000 0.0000 1
# Space group ... I-42d

=====

# meta-GGA SCAN SiP2Au, single point on PBEsol structure
data_SiP2Au
_space_group_name_H-M_alt 'P 1'
_space_group_IT_number 1
_space_group_name_Hall 'P 1'
_cell_length_a 3.4960
_cell_length_b 4.3214
_cell_length_c 4.4561
_cell_angle_alpha 107.99
_cell_angle_beta 90.00
_cell_angle_gamma 90.00
loop_
_atom_site_label
_atom_site_type_symbol
_atom_site_fract_x
_atom_site_fract_y
_atom_site_fract_z
_atom_site_occupancy
Au1 Au 0.5000 0.5000 0.0000 1
P1 P 0.0000 0.2762 0.2940 1
P2 P 0.0000 0.7238 0.7060 1
Si1 Si 0.5000 0.0000 0.5000 1
# Space group ... P2/m

=====

# meta-GGA SCAN Si2PAu2, single point on PBEsol structure
data_Si2PAu2
_space_group_name_H-M_alt 'P 1'
_space_group_IT_number 1
_space_group_name_Hall 'P 1'
_cell_length_a 4.0016
_cell_length_b 4.0016
_cell_length_c 6.0879
_cell_angle_alpha 109.19
_cell_angle_beta 109.19
_cell_angle_gamma 90.00
loop_
_atom_site_label
_atom_site_type_symbol
_atom_site_fract_x
_atom_site_fract_y
_atom_site_fract_z
_atom_site_occupancy
Au1 Au 0.2500 0.7500 0.5000 1
Au2 Au 0.7500 0.2500 0.5000 1
P1 P 0.0000 0.0000 0.0000 1
Si1 Si 0.6052 0.6052 0.2105 1
Si2 Si 0.3948 0.3948 0.7895 1
# Space group ... I4/mmm

=====

# meta-GGA SCAN SiP2Au, single point on PBEsol structure
data_SiP2Au
_space_group_name_H-M_alt 'P 1'
_space_group_IT_number 1
_space_group_name_Hall 'P 1'
_cell_length_a 2.6833
_cell_length_b 3.2803
_cell_length_c 6.9251
_cell_angle_alpha 90.00
_cell_angle_beta 90.00
_cell_angle_gamma 90.00
loop_
_atom_site_label
_atom_site_type_symbol
_atom_site_fract_x
_atom_site_fract_y
_atom_site_fract_z
_atom_site_occupancy
Au1 Au 0.5000 0.5000 0.5000 1
P1 P 0.0000 0.0000 0.7746 1
P2 P 0.0000 0.0000 0.2254 1
Si1 Si 0.5000 0.5000 0.0000 1
# Space group ... Pmmm

=====

# meta-GGA SCAN SiP3Au, single point on PBEsol structure
data_SiP3Au
_space_group_name_H-M_alt 'P 1'
_space_group_IT_number 1
_space_group_name_Hall 'P 1'
_cell_length_a 4.4246
_cell_length_b 4.4246
_cell_length_c 4.4246
_cell_angle_alpha 90.00
_cell_angle_beta 90.00
_cell_angle_gamma 90.00
loop_
_atom_site_label
_atom_site_type_symbol
_atom_site_fract_x
_atom_site_fract_y
_atom_site_fract_z
_atom_site_occupancy
P1 P 0.0000 0.5000 0.0000 1
P2 P 0.0000 0.0000 0.5000 1
P3 P 0.5000 0.0000 0.0000 1
Si1 Si 0.0000 0.0000 0.0000 1
Au1 Au 0.5000 0.5000 0.5000 1
# Space group ... Pm-3m

=====

# meta-GGA SCAN SiP2Au, single point on PBEsol structure
data_SiP2Au
_space_group_name_H-M_alt 'P 1'
_space_group_IT_number 1
_space_group_name_Hall 'P 1'
_cell_length_a 2.6830
_cell_length_b 4.7290
_cell_length_c 4.8429
_cell_angle_alpha 90.00
_cell_angle_beta 90.00
_cell_angle_gamma 90.00
loop_
_atom_site_label
_atom_site_type_symbol
_atom_site_fract_x
_atom_site_fract_y
_atom_site_fract_z
_atom_site_occupancy
Au1 Au 0.0000 0.5000 0.5000 1
P1 P 0.0000 0.0000 0.0000 1
P2 P 0.5000 0.5000 0.0000 1
Si1 Si 0.5000 0.0000 0.5000 1
# Space group ... Pmmm

=====

# meta-GGA SCAN SiP2Au, single point on PBEsol structure
data_SiP2Au
_space_group_name_H-M_alt 'P 1'
_space_group_IT_number 1
_space_group_name_Hall 'P 1'
_cell_length_a 3.3092
_cell_length_b 4.3237
_cell_length_c 5.5613
_cell_angle_alpha 110.12
_cell_angle_beta 107.31
_cell_angle_gamma 90.00
loop_
_atom_site_label
_atom_site_type_symbol
_atom_site_fract_x
_atom_site_fract_y
_atom_site_fract_z
_atom_site_occupancy
Au1 Au 0.5000 0.0000 0.0000 1
P1 P 0.3231 0.4600 0.6461 1
P2 P 0.6769 0.5400 0.3539 1
Si1 Si 0.0000 0.5000 0.0000 1
# Space group ... C2/m

=====

# meta-GGA SCAN Ti2SiPAu, single point on PBEsol structure
data_Ti2SiPAu
_space_group_name_H-M_alt 'P 1'
_space_group_IT_number 1
_space_group_name_Hall 'P 1'
_cell_length_a 4.2852
_cell_length_b 4.6207
_cell_length_c 4.6207
_cell_angle_alpha 90.00
_cell_angle_beta 90.00
_cell_angle_gamma 90.00
loop_
_atom_site_label
_atom_site_type_symbol
_atom_site_fract_x
_atom_site_fract_y
_atom_site_fract_z
_atom_site_occupancy
P1 P 0.5000 0.0000 0.0000 1
Si1 Si 0.0000 0.0000 0.0000 1
Au1 Au 0.5000 0.5000 0.5000 1
Ti1 Ti 0.0000 0.0000 0.5000 1
Ti2 Ti 0.0000 0.5000 0.0000 1
# Space group ... P4/mmm

=====

The records above yield ΔE_f (raw) values of 376.4; 618.8; 483.2; 260.6; -135.4; 57.3; 443.2; 646.6; 937.6; 647.6; 257.3; 440.2 meV/atom, respectively.